[1]
Below is Hg2BrF2 after structural relaxation, with properties calculated at the PBE level.

Symmetry = P-1 (2)
Uncorrected energy = -2.239 eV/atom
Offset from the most stable computed form = 0.000 eV/atom
Total magnetization = 0.00 μB/f.u.

```
Hg2BrF2
1.0
4.108 0.024 0.240
2.201 6.918 2.093
0.526 0.702 8.429
Hg Br F
4 2 4
direct
0.338 0.806 0.925
0.905 0.520 0.351
0.662 0.194 0.075
0.095 0.480 0.649
0.219 0.106 0.306
0.781 0.894 0.694
0.536 0.517 0.174
0.884 0.821 0.099
0.464 0.483 0.826
0.116 0.179 0.901
```

---

[2]
Below is Hg2Br3F after structural relaxation, with properties calculated at the PBE level.

Symmetry = P-1 (2)
Uncorrected energy = -1.934 eV/atom
Offset from the most stable computed form = 0.007 eV/atom
Total magnetization = 0.00 μB/f.u.

```
Hg2Br3F
1.0
-4.129 -0.197 0.352
-2.056 -9.187 -3.240
1.402 -3.793 10.244
Hg Br F
4 6 2
direct
0.888 0.330 0.922
0.112 0.670 0.078
0.639 0.132 0.647
0.361 0.868 0.353
0.068 0.039 0.810
0.932 0.961 0.190
0.710 0.664 0.906
0.290 0.336 0.094
0.799 0.798 0.516
0.201 0.202 0.484
0.509 0.341 0.788
0.491 0.659 0.212
```

---

[3]
Below is Hg2Br2F after structural relaxation, with properties calculated at the PBE level.

Symmetry = P1 (1)
Uncorrected energy = -1.790 eV/atom
Offset from the most stable computed form = 0.093 eV/atom
Total magnetization = 0.00 μB/f.u.

```
Hg2Br2F
1.0
4.405 -0.009 0.013
-1.045 4.361 0.005
-0.152 -1.351 8.309
Hg Br F
2 2 1
direct
0.167 0.521 0.893
0.528 0.999 0.490
0.883 0.871 0.046
0.034 0.496 0.498
0.434 0.222 0.797
```

---

[4]
Below is Hg2BrF after structural relaxation, with properties calculated at the PBE level.

Symmetry = I-42d (122)
Uncorrected energy = -1.560 eV/atom
Offset from the most stable computed form = 0.258 eV/atom
Total magnetization = 0.00 μB/f.u.

```
Hg2BrF
1.0
5.218 0.000 0.000
0.000 5.218 0.000
2.609 2.609 8.016
Hg Br F
4 2 2
direct
0.515 0.125 0.250
0.235 0.625 0.250
0.375 0.485 0.750
0.875 0.765 0.750
0.000 0.000 0.000
0.750 0.250 0.500
0.500 0.500 0.000
0.250 0.750 0.500
```